Entry from Alexandria: crystalline Cs2MnV2Cl2O6 at its relaxed geometry (PBE+U).

Calculated values
total magnetic moment = 0.385 μB per atom
crystal system = orthorhombic
volume = 22.87 Å³/atom
final energy = -6.3167 eV per atom

Unit cell a=9.410 b=9.410 c=5.853 alpha=90.00 beta=90.00 gamma=145.00
Sites, in units of the cell vectors:
Cs 0.128 0.872 0.000
Cs 0.872 0.128 0.000
Mn 0.500 0.500 0.507
V 0.302 0.698 0.515
V 0.698 0.302 0.515
Cl 0.000 0.000 0.526
Cl 0.500 0.500 0.093
O 0.000 0.500 0.628
O 0.300 0.700 0.233
O 0.391 0.609 0.614
O 0.500 0.000 0.628
O 0.609 0.391 0.614
O 0.700 0.300 0.233